Ce4Pr2Sb3Cl2: optimized geometry, PBE.

Output
theoretical density = 6.36 g cm⁻³
energy = -119.28 eV/cell
DOS(E_F) = 2.187 states/eV/atom
uncorrected formation energy = -935.1 meV per atom

Lattice parameters (Å, degrees): 5.2487 5.2487 24.2299 90.00 90.00 90.00
Closest atoms and distances in Å follow each position.
Space group I4/mmm (No. 139)
Symmetry-distinct sites (fractional):
1 Ce 0.0000 0.5000 0.0848  2 Cl 2.64
2 Pr 0.0000 0.0000 0.1958  1 Cl 3.00, 1 Sb 3.19
3 Sb 0.0000 0.0000 0.3274  1 Pr 3.19, 4 Ce 3.38
4 Sb 0.0000 0.0000 0.5000  8 Ce 3.33
5 Cl 0.0000 0.0000 0.0721  4 Ce 2.64



Zr3BeBi2: optimized geometry, PBE.

Output
theoretical density = 8.88 g cm⁻³
energy = -153.49 eV/cell
formation energy from the elements = -1.24 eV per formula unit
DOS(E_F) = 0.621 states/eV/atom

Lattice parameters (Å, degrees): 12.1055 3.9292 11.0219 90.00 90.00 90.00
Closest atoms and distances in Å follow each position.
Space group Pnma (No. 62)
Symmetry-distinct sites (fractional):
1 Zr 0.0708 0.2500 0.0943  1 Be 2.87, 4 Bi 3.00-3.07, 2 Zr 3.18
2 Zr 0.1114 0.7500 0.5308  3 Be 2.79-2.91, 4 Bi 3.04-3.12
3 Zr 0.2315 0.7500 0.2372  2 Be 2.80, 2 Bi 3.02-3.09
4 Be 0.1043 0.2500 0.3518  3 Bi 2.57-2.58, 5 Zr 2.79-2.87
5 Bi 0.0198 0.2500 0.7162  2 Be 2.58
6 Bi 0.2031 0.7500 0.9490  1 Be 2.57



Bi2AsPdN: optimized geometry, PBE.

Output
theoretical density = 8.87 g cm⁻³
energy = -22.05 eV/cell
DOS(E_F) = 0.731 states/eV/atom
uncorrected formation energy = 776.5 meV per atom

Lattice parameters (Å, degrees): 5.6548 5.6548 3.5912 90.00 90.00 90.00
Closest atoms and distances in Å follow each position.
Space group P4/mmm (No. 123)
Symmetry-distinct sites (fractional):
1 Bi 0.0000 0.5000 0.0000  2 As 2.83
2 As 0.0000 0.0000 0.0000  2 N 1.80
3 Pd 0.5000 0.5000 0.5000  8 Bi 3.35, 2 Pd 3.59
4 N 0.0000 0.0000 0.5000  2 As 1.80



Question: Which of these has the highest theoretical density?
Answer: Zr3BeBi2



Question: energy of number 1 (Ce4Pr2Sb3Cl2)?
Answer: -119.28 eV/cell